*a*
First-principles (PBE-GGA) data for NpU2As after structural relaxation, as listed in the Alexandria database.

Geometry as POSCAR:
```
NpU2As
1.0
2.9762 0.0000 0.0000
1.4881 2.5775 0.0000
1.4881 0.8592 10.7175
Np As U
1 1 2
Direct
0.0000 0.0000 0.0000
0.5000 0.5000 0.5000
0.7544 0.7544 0.7367
0.2456 0.2456 0.2633
```

## Properties
total magnetic moment: 0.1377 μB per atom
V: 20.55 Å³/atom
theoretical density: 15.92 g/cm3
SG: R-3m, No. 166

*b*
First-principles (PBE-GGA) data for NpU2As after structural relaxation, as listed in the Alexandria database.

Geometry as POSCAR:
```
NpU2As
1.0
-0.4730 3.2953 3.8723
-4.9490 -2.9519 1.9075
5.7368 -4.9479 7.2269
Np U As
4 8 4
Direct
0.4463 0.9392 0.3957
0.5537 0.0608 0.6043
0.0537 0.9392 0.1043
0.9463 0.0608 0.8957
0.0431 0.4117 0.1066
0.9569 0.5883 0.8934
0.4569 0.4117 0.3934
0.5431 0.5883 0.6066
0.5409 0.3316 0.8791
0.4591 0.6684 0.1209
0.9591 0.3316 0.6209
0.0409 0.6684 0.3791
0.0393 0.8366 0.6408
0.9607 0.1634 0.3592
0.4607 0.8366 0.8592
0.5393 0.1634 0.1408
```

## Properties
total magnetic moment: 0.4450 μB per atom
V: 20.00 Å³/atom
theoretical density: 16.36 g/cm3
SG: P2/c, No. 13

Most stable structure: *b*

*a*
First-principles (PBE-GGA) data for AsOs2O after structural relaxation, as listed in the Alexandria database.

Geometry as POSCAR:
```
AsOs2O
1.0
0.6781 -4.1019 0.1742
0.5303 -1.8667 3.6810
-2.9446 -2.5342 1.4912
As Os O
1 2 1
Direct
0.5000 0.5000 0.5000
0.2500 0.2500 0.2500
0.7500 0.7500 0.7500
0.0000 0.0000 0.0000
```

## Properties
total magnetic moment: 0.0002 μB per atom
V: 12.74 Å³/atom
theoretical density: 15.36 g/cm3
SG: Fm-3m, No. 225

*b*
First-principles (PBE-GGA) data for AsOs2O after structural relaxation, as listed in the Alexandria database.

Geometry as POSCAR:
```
AsOs2O
1.0
4.1978 0.0000 0.0000
0.0000 4.1978 0.0000
2.0989 2.0989 6.8721
As Os O
2 4 2
Direct
0.0000 0.0000 0.0000
0.7500 0.2500 0.5000
0.5414 0.1250 0.2500
0.2086 0.6250 0.2500
0.3750 0.4586 0.7500
0.8750 0.7914 0.7500
0.5000 0.5000 0.0000
0.2500 0.7500 0.5000
```

## Properties
total magnetic moment: 0.0000 μB per atom
V: 15.14 Å³/atom
theoretical density: 12.93 g/cm3
SG: I-42d, No. 122

Most stable structure: *b*

*a*
First-principles (PBE-GGA) data for AsP2O after structural relaxation, as listed in the Alexandria database.

Geometry as POSCAR:
```
AsP2O
1.0
4.4428 0.0000 0.0000
0.0000 4.4428 0.0000
2.2214 2.2214 6.5363
P As O
4 2 2
Direct
0.5072 0.1250 0.2500
0.2428 0.6250 0.2500
0.3750 0.4928 0.7500
0.8750 0.7572 0.7500
0.0000 0.0000 0.0000
0.7500 0.2500 0.5000
0.5000 0.5000 0.0000
0.2500 0.7500 0.5000
```

## Properties
total magnetic moment: 0.0000 μB per atom
V: 16.13 Å³/atom
theoretical density: 3.94 g/cm3
SG: I-42d, No. 122

*b*
First-principles (PBE-GGA) data for AsP2O after structural relaxation, as listed in the Alexandria database.

Geometry as POSCAR:
```
AsP2O
1.0
0.0000 2.9897 2.9897
2.9897 0.0000 2.9897
2.9897 2.9897 0.0000
P As O
2 1 1
Direct
0.2500 0.2500 0.2500
0.7500 0.7500 0.7500
0.5000 0.5000 0.5000
0.0000 0.0000 0.0000
```

## Properties
total magnetic moment: 0.0000 μB per atom
V: 13.36 Å³/atom
theoretical density: 4.75 g/cm3
SG: Fm-3m, No. 225

Most stable structure: *a*

*a*
First-principles (PBE-GGA) data for AsPO2 after structural relaxation, as listed in the Alexandria database.

Geometry as POSCAR:
```
AsPO2
1.0
0.0608 -0.2629 6.7465
-1.3507 -2.8234 5.9826
1.6684 -2.6979 5.9603
P As O
1 1 2
Direct
0.5000 0.5000 0.5000
0.0000 0.0000 0.0000
0.8911 0.8911 0.8911
0.1089 0.1089 0.1089
```

## Properties
total magnetic moment: 0.0000 μB per atom
V: 12.90 Å³/atom
theoretical density: 4.44 g/cm3
SG: R-3m, No. 166

*b*
First-principles (PBE-GGA) data for AsPO2 after structural relaxation, as listed in the Alexandria database.

Geometry as POSCAR:
```
AsPO2
1.0
5.5231 0.0000 0.0000
0.0000 5.5231 0.0000
2.7615 2.7615 3.9097
P As O
2 2 4
Direct
0.5000 0.5000 0.0000
0.2500 0.7500 0.5000
0.0000 0.0000 0.0000
0.7500 0.2500 0.5000
0.3753 0.1250 0.2500
0.3747 0.6250 0.2500
0.3750 0.6247 0.7500
0.8750 0.6253 0.7500
```

## Properties
total magnetic moment: 0.0000 μB per atom
V: 14.91 Å³/atom
theoretical density: 3.84 g/cm3
SG: Fd-3m, No. 227

Most stable structure: *a*

*a*
First-principles (PBE-GGA) data for AsPO2 after structural relaxation, as listed in the Alexandria database.

Geometry as POSCAR:
```
AsPO2
1.0
0.0000 2.8421 2.8421
2.8421 0.0000 2.8421
2.8421 2.8421 0.0000
P As O
1 1 2
Direct
0.0000 0.0000 0.0000
0.5000 0.5000 0.5000
0.2500 0.2500 0.2500
0.7500 0.7500 0.7500
```

## Properties
total magnetic moment: 0.0000 μB per atom
V: 11.48 Å³/atom
theoretical density: 4.99 g/cm3
SG: Fm-3m, No. 225

*b*
First-principles (PBE-GGA) data for AsPO2 after structural relaxation, as listed in the Alexandria database.

Geometry as POSCAR:
```
AsPO2
1.0
6.1269 -3.2627 -0.3453
5.7589 -2.3998 -3.0625
6.8357 -0.5843 -1.1113
P As O
1 1 2
Direct
0.0000 0.0000 0.0000
0.5000 0.5000 0.5000
0.9187 0.9187 0.9187
0.0813 0.0813 0.0813
```

## Properties
total magnetic moment: 0.0000 μB per atom
V: 12.07 Å³/atom
theoretical density: 4.74 g/cm3
SG: R-3m, No. 166

Most stable structure: *b*

*a*
First-principles (PBE-GGA) data for AsP3O after structural relaxation, as listed in the Alexandria database.

Geometry as POSCAR:
```
AsP3O
1.0
4.2152 0.0000 0.0000
0.0000 4.2152 0.0000
0.0000 0.0000 4.2152
P As O
3 1 1
Direct
0.0000 0.5000 0.0000
0.0000 0.0000 0.5000
0.5000 0.0000 0.0000
0.5000 0.5000 0.5000
0.0000 0.0000 0.0000
```

## Properties
total magnetic moment: 0.0000 μB per atom
V: 14.98 Å³/atom
theoretical density: 4.08 g/cm3
SG: Pm-3m, No. 221

*b*
First-principles (PBE-GGA) data for AsP3O after structural relaxation, as listed in the Alexandria database.

Geometry as POSCAR:
```
AsP3O
1.0
-1.7090 2.8821 3.2692
-4.0199 0.3141 -2.3783
-1.6836 -3.6755 2.3603
P As O
3 1 1
Direct
0.0000 0.5000 0.0000
0.0000 0.0000 0.5000
0.5000 0.0000 0.0000
0.0000 0.0000 0.0000
0.5000 0.5000 0.5000
```

## Properties
total magnetic moment: 0.0000 μB per atom
V: 20.52 Å³/atom
theoretical density: 2.98 g/cm3
SG: Pm-3m, No. 221

Most stable structure: *a*

*a*
First-principles (PBE-GGA) data for As2PO after structural relaxation, as listed in the Alexandria database.

Geometry as POSCAR:
```
As2PO
1.0
-3.1080 -2.3611 -1.8254
-4.0234 1.5278 -0.2114
-1.6577 1.1854 -3.7965
P As O
1 2 1
Direct
0.5000 0.5000 0.5000
0.2500 0.2500 0.2500
0.7500 0.7500 0.7500
0.0000 0.0000 0.0000
```

## Properties
total magnetic moment: 0.0000 μB per atom
V: 14.14 Å³/atom
theoretical density: 5.78 g/cm3
SG: Fm-3m, No. 225

*b*
First-principles (PBE-GGA) data for As2PO after structural relaxation, as listed in the Alexandria database.

Geometry as POSCAR:
```
As2PO
1.0
5.9834 0.0000 0.0000
0.0000 5.9834 0.0000
2.9917 2.9917 4.1170
P As O
2 4 2
Direct
0.0000 0.0000 0.0000
0.7500 0.2500 0.5000
0.5894 0.1250 0.2500
0.1606 0.6250 0.2500
0.3750 0.4106 0.7500
0.8750 0.8394 0.7500
0.5000 0.5000 0.0000
0.2500 0.7500 0.5000
```

## Properties
total magnetic moment: 0.0000 μB per atom
V: 18.42 Å³/atom
theoretical density: 4.43 g/cm3
SG: I-42d, No. 122

Most stable structure: *b*

*a*
First-principles (PBE-GGA) data for AsP2PbO after structural relaxation, as listed in the Alexandria database.

Geometry as POSCAR:
```
AsP2PbO
1.0
4.6173 0.0000 0.0000
0.0000 4.5998 0.0000
0.0000 0.0000 4.6173
Pb P As O
1 2 1 1
Direct
0.5000 0.5000 0.5000
0.0000 0.0000 0.5000
0.5000 0.0000 0.0000
0.0000 0.5000 0.0000
0.0000 0.0000 0.0000
```

## Properties
total magnetic moment: 0.0000 μB per atom
V: 19.61 Å³/atom
theoretical density: 6.10 g/cm3
SG: P4/mmm, No. 123

*b*
First-principles (PBE-GGA) data for AsP2PbO after structural relaxation, as listed in the Alexandria database.

Geometry as POSCAR:
```
AsP2PbO
1.0
4.9476 0.0000 0.0000
0.0000 4.9476 0.0000
0.0000 0.0000 3.8007
Pb P As O
1 2 1 1
Direct
0.5000 0.5000 0.5000
0.0000 0.5000 0.0000
0.5000 0.0000 0.0000
0.0000 0.0000 0.0000
0.0000 0.0000 0.5000
```

## Properties
total magnetic moment: 0.0000 μB per atom
V: 18.61 Å³/atom
theoretical density: 6.43 g/cm3
SG: P4/mmm, No. 123

*c*
First-principles (PBE-GGA) data for AsP2PbO after structural relaxation, as listed in the Alexandria database.

Geometry as POSCAR:
```
AsP2PbO
1.0
-1.0504 5.0911 0.7143
-2.9338 -1.1923 4.1839
3.2956 0.3421 2.4084
Pb P As O
1 2 1 1
Direct
0.0000 0.0000 0.0000
0.0000 0.5000 0.0000
0.5000 0.0000 0.0000
0.5000 0.5000 0.5000
0.0000 0.0000 0.5000
```

## Properties
total magnetic moment: 0.1530 μB per atom
V: 22.56 Å³/atom
theoretical density: 5.30 g/cm3
SG: P4/mmm, No. 123

*d*
First-principles (PBE-GGA) data for AsP2PbO after structural relaxation, as listed in the Alexandria database.

Geometry as POSCAR:
```
AsP2PbO
1.0
-1.2314 4.3029 0.7484
-4.7128 -1.9340 3.3655
2.6090 0.1011 3.7114
Pb P As O
1 2 1 1
Direct
0.0000 0.5000 0.0000
0.0000 0.0000 0.5000
0.5000 0.0000 0.0000
0.0000 0.0000 0.0000
0.5000 0.5000 0.5000
```

## Properties
total magnetic moment: 0.0000 μB per atom
V: 25.14 Å³/atom
theoretical density: 4.76 g/cm3
SG: P4/mmm, No. 123

Most stable structure: *b*

*a*
First-principles (PBE-GGA) data for AsPPbO2 after structural relaxation, as listed in the Alexandria database.

Geometry as POSCAR:
```
AsPPbO2
1.0
3.9688 0.0000 0.0000
0.0000 3.9688 0.0000
0.0000 0.0000 4.9397
Pb P As O
1 1 1 2
Direct
0.5000 0.5000 0.5000
0.0000 0.0000 0.5000
0.0000 0.0000 0.0000
0.0000 0.5000 0.0000
0.5000 0.0000 0.0000
```

## Properties
total magnetic moment: 0.0000 μB per atom
V: 15.56 Å³/atom
theoretical density: 7.36 g/cm3
SG: P4/mmm, No. 123

*b*
First-principles (PBE-GGA) data for AsPPbO2 after structural relaxation, as listed in the Alexandria database.

Geometry as POSCAR:
```
AsPPbO2
1.0
-0.9122 1.0772 -3.9558
3.9398 -0.8909 -1.1511
-1.4479 -5.0554 -1.0428
Pb P As O
1 1 1 2
Direct
0.0000 0.0000 0.0000
0.0000 0.0000 0.5000
0.5000 0.5000 0.5000
0.0000 0.5000 0.0000
0.5000 0.0000 0.0000
```

## Properties
total magnetic moment: 0.0000 μB per atom
V: 18.91 Å³/atom
theoretical density: 6.06 g/cm3
SG: P4/mmm, No. 123

Most stable structure: *a*

*a*
First-principles (PBE-GGA) data for AsP2PdO after structural relaxation, as listed in the Alexandria database.

Geometry as POSCAR:
```
AsP2PdO
1.0
-0.6350 2.5949 -3.9776
-4.4694 1.0308 1.3859
1.2707 3.0804 1.8067
P As O Pd
2 1 1 1
Direct
0.0000 0.5000 0.0000
0.5000 0.0000 0.0000
0.5000 0.5000 0.5000
0.0000 0.0000 0.5000
0.0000 0.0000 0.0000
```

## Properties
total magnetic moment: 0.1637 μB per atom
V: 17.40 Å³/atom
theoretical density: 4.95 g/cm3
SG: P4/mmm, No. 123

*b*
First-principles (PBE-GGA) data for AsP2PdO after structural relaxation, as listed in the Alexandria database.

Geometry as POSCAR:
```
AsP2PdO
1.0
4.7869 0.0000 0.0000
0.0000 4.7869 0.0000
0.0000 0.0000 3.5324
P As O Pd
2 1 1 1
Direct
0.0000 0.5000 0.0000
0.5000 0.0000 0.0000
0.0000 0.0000 0.0000
0.0000 0.0000 0.5000
0.5000 0.5000 0.5000
```

## Properties
total magnetic moment: 0.0000 μB per atom
V: 16.19 Å³/atom
theoretical density: 5.32 g/cm3
SG: P4/mmm, No. 123

Most stable structure: *b*

*a*
First-principles (PBE-GGA) data for AsPPtO2 after structural relaxation, as listed in the Alexandria database.

Geometry as POSCAR:
```
AsPPtO2
1.0
-3.6054 -0.6128 1.2440
1.3850 -1.7619 3.1463
0.0898 4.4496 2.4522
P As O Pt
1 1 2 1
Direct
0.0000 0.0000 0.5000
0.5000 0.5000 0.5000
0.0000 0.5000 0.0000
0.5000 0.0000 0.0000
0.0000 0.0000 0.0000
```

## Properties
total magnetic moment: 0.0000 μB per atom
V: 15.16 Å³/atom
theoretical density: 7.29 g/cm3
SG: P4/mmm, No. 123

*b*
First-principles (PBE-GGA) data for AsPPtO2 after structural relaxation, as listed in the Alexandria database.

Geometry as POSCAR:
```
AsPPtO2
1.0
-2.8015 1.2763 1.7644
-2.1676 -1.3588 -2.4588
-0.3636 -5.2589 3.2267
P As O Pt
1 1 2 1
Direct
0.0000 0.0000 0.5000
0.0000 0.0000 0.0000
0.0000 0.5000 0.0000
0.5000 0.0000 0.0000
0.5000 0.5000 0.5000
```

## Properties
total magnetic moment: 0.0000 μB per atom
V: 15.56 Å³/atom
theoretical density: 7.11 g/cm3
SG: P4/mmm, No. 123

Most stable structure: *b*

*a*
First-principles (PBE-GGA) data for RbAsPO2 after structural relaxation, as listed in the Alexandria database.

Geometry as POSCAR:
```
RbAsPO2
1.0
4.1813 0.0000 0.0000
0.0000 4.1813 0.0000
0.0000 0.0000 7.3557
P As O Rb
1 1 2 1
Direct
0.0000 0.0000 0.5000
0.5000 0.5000 0.5000
0.0000 0.5000 0.0000
0.5000 0.0000 0.0000
0.0000 0.0000 0.0000
```

## Properties
total magnetic moment: 0.2582 μB per atom
V: 25.72 Å³/atom
theoretical density: 2.88 g/cm3
SG: P4/mmm, No. 123

*b*
First-principles (PBE-GGA) data for RbAsPO2 after structural relaxation, as listed in the Alexandria database.

Geometry as POSCAR:
```
RbAsPO2
1.0
-3.6821 -2.0028 0.2384
0.1427 -0.7536 -4.1277
2.3032 -4.1349 0.8345
P As O Rb
1 1 2 1
Direct
0.0000 0.0000 0.5000
0.0000 0.0000 0.0000
0.0000 0.5000 0.0000
0.5000 0.0000 0.0000
0.5000 0.5000 0.5000
```

## Properties
total magnetic moment: 0.3207 μB per atom
V: 16.94 Å³/atom
theoretical density: 4.38 g/cm3
SG: P4/mmm, No. 123

Most stable structure: *b*

*a*
First-principles (PBE-GGA) data for ReAsP2O after structural relaxation, as listed in the Alexandria database.

Geometry as POSCAR:
```
ReAsP2O
1.0
-3.2311 3.1456 -1.3594
-2.9275 -1.5626 3.3423
1.3227 2.3301 2.2479
Re As O P
1 1 1 2
Direct
0.5000 0.5000 0.5000
0.0000 0.0000 0.0000
0.0000 0.0000 0.5000
0.0000 0.5000 0.0000
0.5000 0.0000 0.0000
```

## Properties
total magnetic moment: 0.3444 μB per atom
V: 15.52 Å³/atom
theoretical density: 7.26 g/cm3
SG: P4/mmm, No. 123

*b*
First-principles (PBE-GGA) data for ReAsP2O after structural relaxation, as listed in the Alexandria database.

Geometry as POSCAR:
```
ReAsP2O
1.0
4.7850 0.0000 0.0000
0.0000 4.7850 0.0000
0.0000 0.0000 3.7073
Re As O P
1 1 1 2
Direct
0.0000 0.0000 0.0000
0.5000 0.5000 0.5000
0.0000 0.0000 0.5000
0.0000 0.5000 0.0000
0.5000 0.0000 0.0000
```

## Properties
total magnetic moment: 0.0000 μB per atom
V: 16.98 Å³/atom
theoretical density: 6.63 g/cm3
SG: P4/mmm, No. 123

Most stable structure: *b*